A geometry-optimized AlCu2Ge structure, computed with PBE.

Cell lengths 6.137, 6.137, 6.137 Å; angles 90.00, 90.00, 90.00 degrees
Atoms (fractional coordinates):
Al: 0.000 0.000 0.000
Al: 0.500 0.000 0.000
Al: 0.000 0.500 0.000
Al: 0.000 0.000 0.500
Cu: 0.240 0.240 0.240
Cu: 0.760 0.240 0.240
Cu: 0.240 0.760 0.240
Cu: 0.760 0.760 0.240
Cu: 0.240 0.240 0.760
Cu: 0.760 0.240 0.760
Cu: 0.240 0.760 0.760
Cu: 0.760 0.760 0.760
Ge: 0.500 0.500 0.000
Ge: 0.500 0.000 0.500
Ge: 0.000 0.500 0.500
Ge: 0.500 0.500 0.500

Raw total energy, eV for the cell shown: -62.10